Record 1
Material: NaZrTe4Au3
Method: DFT, PBE
State: relaxed

Values from the calculation:
The electronic total energy comes out at -3.995 eV/atom. The polymorph energy (0 for the lowest one) is 0.085 eV/atom.

a = 6.5693 Å, b = 8.5633 Å, c = 9.8203 Å
α = 90.00°, β = 101.52°, γ = 90.00°
Space group P2_1/m (No. 11)
Symmetry-distinct sites (fractional):
Na 0.2038 0.2500 0.0488 (multiplicity 2)
Zr 0.2164 0.7500 0.2932 (multiplicity 2)
Te 0.0453 0.5145 0.7527 (multiplicity 4)
Te 0.3680 0.7500 0.0530 (multiplicity 2)
Te 0.4917 0.7500 0.5567 (multiplicity 2)
Au 0.2245 0.0173 0.5085 (multiplicity 4)
Au 0.2978 0.2500 0.7298 (multiplicity 2)

***

Record 2
Material: Ho2ZrP3
Method: DFT, PBE
State: relaxed

Values from the calculation:
The electronic total energy comes out at -7.187 eV/atom.

a = 3.8847 Å, b = 3.8847 Å, c = 9.5979 Å
α = 90.00°, β = 90.00°, γ = 120.00°
Space group P-3m1 (No. 164)
Symmetry-distinct sites (fractional):
Ho 0.3333 0.6667 0.3286 (multiplicity 2)
Zr 0.0000 0.0000 0.0000 (multiplicity 1)
P 0.0000 0.0000 0.5000 (multiplicity 1)
P 0.3333 0.6667 0.8442 (multiplicity 2)

***

Record 3
Material: TbBeTc
Method: DFT, PBE
State: relaxed

Values from the calculation:
The electronic total energy comes out at -5.858 eV/atom.

a = 6.0022 Å, b = 6.0022 Å, c = 6.0022 Å
α = 90.00°, β = 90.00°, γ = 90.00°
Space group F-43m (No. 216)
Symmetry-distinct sites (fractional):
Tb 0.0000 0.0000 0.0000 (multiplicity 4)
Be 0.2500 0.2500 0.2500 (multiplicity 4)
Tc 0.0000 0.0000 0.5000 (multiplicity 4)

***

Record 4
Material: TaAlNiIr
Method: DFT, PBE
State: relaxed

Values from the calculation:
The electronic total energy comes out at -7.793 eV/atom.

a = 6.1520 Å, b = 6.1520 Å, c = 6.1520 Å
α = 90.00°, β = 90.00°, γ = 90.00°
Space group F-43m (No. 216)
Symmetry-distinct sites (fractional):
Ta 0.0000 0.0000 0.0000 (multiplicity 4)
Al 0.2500 0.2500 0.2500 (multiplicity 4)
Ni 0.0000 0.0000 0.5000 (multiplicity 4)
Ir 0.2500 0.2500 0.7500 (multiplicity 4)

***

Record 5
Material: Sn2Pd3
Method: DFT, PBE
State: relaxed

Values from the calculation:
The electronic total energy comes out at -4.840 eV/atom.

a = 3.9024 Å, b = 3.9024 Å, c = 15.6167 Å
α = 90.00°, β = 90.00°, γ = 90.00°
Space group P4mm (No. 99)
Symmetry-distinct sites (fractional):
Sn 0.0000 0.0000 0.0000 (multiplicity 1)
Sn 0.0000 0.0000 0.2621 (multiplicity 1)
Pd 0.0000 0.5000 0.1432 (multiplicity 2)
Pd 0.5000 0.5000 0.0135 (multiplicity 1)

***

Record 6
Material: PrMgGa
Method: DFT, PBE
State: relaxed

Values from the calculation:
The electronic total energy comes out at -3.563 eV/atom. The polymorph energy (0 for the lowest one) is 0.040 eV/atom.

a = 7.6415 Å, b = 4.5167 Å, c = 8.6495 Å
α = 90.00°, β = 90.00°, γ = 90.00°
Space group Pnma (No. 62)
Symmetry-distinct sites (fractional):
Pr 0.0220 0.2500 0.1806 (multiplicity 4)
Mg 0.1455 0.2500 0.5594 (multiplicity 4)
Ga 0.2311 0.7500 0.3793 (multiplicity 4)

***

Record 7
Material: PrGeTe3Au
Method: DFT, PBE
State: relaxed

Values from the calculation:
The electronic total energy comes out at -4.260 eV/atom. The polymorph energy (0 for the lowest one) is 0.015 eV/atom.

a = 4.2268 Å, b = 15.0406 Å, c = 11.6650 Å
α = 90.00°, β = 90.00°, γ = 90.00°
Space group Cmcm (No. 63)
Symmetry-distinct sites (fractional):
Pr 0.0000 0.0000 0.0000 (multiplicity 4)
Ge 0.0000 0.1755 0.2500 (multiplicity 4)
Te 0.0000 0.0909 0.7500 (multiplicity 4)
Te 0.0000 0.3466 0.5631 (multiplicity 8)
Au 0.0000 0.4672 0.7500 (multiplicity 4)

***

Record 8
Material: BeCdSO
Method: DFT, PBE
State: relaxed

Values from the calculation:
The electronic total energy comes out at -4.594 eV/atom. The polymorph energy (0 for the lowest one) is 0.280 eV/atom.

a = 3.5478 Å, b = 3.5478 Å, c = 9.1108 Å
α = 90.00°, β = 90.00°, γ = 90.00°
Space group P4/nmm (No. 129, origin choice 2)
Symmetry-distinct sites (fractional):
Be 0.2500 0.2500 0.0125 (multiplicity 2)
Cd 0.2500 0.2500 0.6309 (multiplicity 2)
S 0.2500 0.2500 0.3246 (multiplicity 2)
O 0.2500 0.7500 0.0000 (multiplicity 2)